CrAuIO2 | GGA+U | relaxed

**Spin magnetization**: 6.03 μB/cell
**Calculated total energy**: -4.153 eV per atom
**Calculated volume**: 23.32 Å³ per atom

a = 4.0195 Å, b = 4.0195 Å, c = 7.2173 Å
α = 90.00°, β = 90.00°, γ = 90.00°
Element x y z (fractional)
Cr1 0.0000 0.0000 0.0000
Au1 0.5000 0.5000 0.5000
I1 0.5000 0.5000 0.0000
O1 0.0000 0.5000 0.5000
O2 0.5000 0.0000 0.5000